# MgCrF6

MgCrF6 after structural relaxation (PBE with a Hubbard U, the Alexandria database).

Lattice parameters (Å, degrees): 5.1544 5.1544 13.4456 90.00 90.00 120.00
Last column: nearest neighbours and their distance in Å.
Space group R-3 (No. 148, hexagonal axes)
Inequivalent atoms, fractional coordinates:
Mg 0.0000 0.0000 0.0000 x3  6 F 2.01
Cr 0.0000 0.0000 0.5000 x3  6 F 1.86
F 0.0151 0.4071 0.2470 x18  1 Cr 1.86, 1 Mg 2.01

Properties
* final energy: -128.35 eV for the cell shown